Computed, not measured: crystalline Tl2Ga2Te5 at its relaxed geometry at the PBE level of DFT.

uncorrected formation energy = -0.1095 eV per atom
calculated total energy = -3.0534 eV per atom

```
Tl2Ga2Te5
1.0
7.1058 -2.4908 0.0000
7.1058 2.4908 0.0000
-1.5865 0.0000 9.7916
Tl Ga Te
2 2 5
Direct
0.1288 0.1288 0.3858
0.8712 0.8712 0.6142
0.3236 0.3236 0.1379
0.6764 0.6764 0.8621
0.1411 0.1411 0.9894
0.3674 0.3674 0.3983
0.5000 0.5000 0.0000
0.6326 0.6326 0.6017
0.8589 0.8589 0.0106
```